MnBO3 PBE+U optimized geometry; DFT total energy = -113.886 eV for the cell shown; total magnetic moment = 12.00 μB/cell
1.0
4.2277 -7.3226 0.0000
4.2277 7.3226 0.0000
0.0000 0.0000 3.0678
B O Mn
3 9 3
Cartesian
4.2277 2.4409 1.5339 B
0.0000 0.0000 0.0000 B
4.2277 -2.4409 1.5339 B
3.8361 -3.7726 1.5339 O
5.5495 2.8382 1.5339 O
3.2227 3.3869 1.5339 O
3.9109 1.0975 1.5339 O
4.0060 5.9760 0.0000 O
3.2701 -1.4358 1.5339 O
7.4001 0.8653 0.0000 O
1.2770 0.4813 0.0000 O
5.5768 -2.1141 1.5339 O
2.6890 -4.5595 0.0000 Mn
3.1622 -0.0490 0.0000 Mn
6.8318 -2.7141 0.0000 Mn